# 1
## Pu2VPd6 (PBE)

Data for a relaxed structure of Pu2VPd6.

Properties
Total magnetic moment = 10.49 μB/cell
Symmetry = No. 164
Energy = -8.030 eV/atom
Calculated volume = 18.4 A^3/atom
Formation enthalpy at 0 K = -0.3704 eV per atom

a b c (Å): 5.6981 5.6981 5.8857
angles (deg): 90.00 90.00 120.00
Element x y z (fractional)
Pu  0.3333  0.6667  0.3383
Pu  0.6667  0.3333  0.6617
V  0.0000  0.0000  0.5000
Pd  0.1712  0.3424  0.8095
Pd  0.1712  0.8288  0.8095
Pd  0.3424  0.1712  0.1905
Pd  0.6576  0.8288  0.8095
Pd  0.8288  0.1712  0.1905
Pd  0.8288  0.6576  0.1905

# 2
## YPu5Pd6 (PBE)

Data for a relaxed structure of YPu5Pd6.

Properties
Total magnetic moment = 5.55 μB/cell
Symmetry = No. 71
Energy = -9.541 eV/atom
Calculated volume = 21.9 A^3/atom
Formation enthalpy at 0 K = -0.4342 eV per atom

a b c (Å): 8.6271 8.6271 8.6271
angles (deg): 146.45 131.74 60.06
Element x y z (fractional)
Y  0.0000  0.0000  0.0000
Pu  0.1717  0.6717  0.5000
Pu  0.3373  0.3373  0.0000
Pu  0.5000  0.0000  0.5000
Pu  0.6627  0.6627  0.0000
Pu  0.8283  0.3283  0.5000
Pd  0.0793  0.8351  0.2442
Pd  0.2375  0.5000  0.7375
Pd  0.4092  0.1649  0.2442
Pd  0.5908  0.8351  0.7558
Pd  0.7625  0.5000  0.2625
Pd  0.9207  0.1649  0.7558

# 3
## Y3PuPd12 (PBE)

Data for a relaxed structure of Y3PuPd12.

Properties
Total magnetic moment = 4.21 μB/cell
Symmetry = No. 123
Energy = -6.781 eV/atom
Calculated volume = 17.7 A^3/atom
Formation enthalpy at 0 K = -0.7782 eV per atom

a b c (Å): 4.1332 4.1332 16.5609
angles (deg): 90.00 90.00 90.00
Element x y z (fractional)
Y  0.0000  0.0000  0.0000
Y  0.0000  0.0000  0.2491
Y  0.0000  0.0000  0.7509
Pu  0.0000  0.0000  0.5000
Pd  0.0000  0.5000  0.1252
Pd  0.0000  0.5000  0.3766
Pd  0.0000  0.5000  0.6234
Pd  0.0000  0.5000  0.8748
Pd  0.5000  0.0000  0.1252
Pd  0.5000  0.0000  0.3766
Pd  0.5000  0.0000  0.6234
Pd  0.5000  0.0000  0.8748
Pd  0.5000  0.5000  0.0000
Pd  0.5000  0.5000  0.2501
Pd  0.5000  0.5000  0.5000
Pd  0.5000  0.5000  0.7499

# 4
## YPuPd4 (PBE)

Data for a relaxed structure of YPuPd4.

Properties
Total magnetic moment = 5.36 μB/cell
Polymorph energy (0 for the lowest one) = 0.00 eV per formula unit
Symmetry = No. 216
Energy = -7.578 eV/atom
Calculated volume = 19.2 A^3/atom
Formation enthalpy at 0 K = -0.6503 eV per atom

a b c (Å): 5.4574 5.4574 5.4574
angles (deg): 60.00 60.00 60.00
Element x y z (fractional)
Y  0.0000  0.0000  0.0000
Pu  0.2500  0.2500  0.2500
Pd  0.1255  0.6248  0.6248
Pd  0.6248  0.1255  0.6248
Pd  0.6248  0.6248  0.1255
Pd  0.6248  0.6248  0.6248

# 5
## Y2PuPd (PBE)

Data for a relaxed structure of Y2PuPd.

Properties
Total magnetic moment = 6.92 μB/cell
Polymorph energy (0 for the lowest one) = 0.00 eV per formula unit
Symmetry = No. 123
Energy = -8.438 eV/atom
Calculated volume = 26.2 A^3/atom
Formation enthalpy at 0 K = -0.3250 eV per atom

a b c (Å): 3.5240 3.5240 8.4392
angles (deg): 90.00 90.00 90.00
Element x y z (fractional)
Y  0.0000  0.0000  0.2029
Y  0.0000  0.0000  0.7971
Pu  0.5000  0.5000  0.5000
Pd  0.5000  0.5000  0.0000

# 6
## YPuPd14 (PBE)

Data for a relaxed structure of YPuPd14.

Properties
Total magnetic moment = 3.90 μB/cell
Symmetry = No. 123
Energy = -6.186 eV/atom
Calculated volume = 16.6 A^3/atom
Formation enthalpy at 0 K = -0.3429 eV per atom

a b c (Å): 5.7961 5.7961 7.8892
angles (deg): 90.00 90.00 90.00
Element x y z (fractional)
Y  0.0000  0.0000  0.0000
Pu  0.5000  0.5000  0.0000
Pd  0.0000  0.0000  0.5000
Pd  0.0000  0.5000  0.0000
Pd  0.0000  0.5000  0.5000
Pd  0.2512  0.2512  0.2576
Pd  0.2512  0.2512  0.7424
Pd  0.2512  0.7488  0.2576
Pd  0.2512  0.7488  0.7424
Pd  0.5000  0.0000  0.0000
Pd  0.5000  0.0000  0.5000
Pd  0.5000  0.5000  0.5000
Pd  0.7488  0.2512  0.2576
Pd  0.7488  0.2512  0.7424
Pd  0.7488  0.7488  0.2576
Pd  0.7488  0.7488  0.7424